A:
Computed, not measured: MgSbW2 at its PBEsol-relaxed geometry at the meta-GGA SCAN level of DFT.

Cell lengths 3.9354, 3.9354, 4.4360 Å; angles 90.00, 90.00, 90.00 degrees
Space group P4/mmm (No. 123)
Asymmetric unit:
Mg (0.0000, 0.0000, 0.0000)
Sb (0.5000, 0.5000, 0.0000)
W (0.0000, 0.5000, 0.5000)


B:
Computed, not measured: MgSbW2 at its PBEsol-relaxed geometry at the meta-GGA SCAN level of DFT.

Cell lengths 9.5318, 3.1880, 4.6892 Å; angles 90.00, 98.86, 90.00 degrees
Space group C2/m (No. 12)
Asymmetric unit:
Mg (0.0000, 0.0000, 0.0000)
Sb (0.0000, 0.5000, 0.5000)
W (0.2499, 0.0000, 0.7731)


C:
Computed, not measured: MgSbW2 at its PBEsol-relaxed geometry at the meta-GGA SCAN level of DFT.

Cell lengths 9.6099, 3.4021, 4.6813 Å; angles 90.00, 112.58, 90.00 degrees
Space group Cm (No. 8)
Asymmetric unit:
Mg (0.0000, 0.0000, 0.0000)
Sb (0.2677, 0.5000, 0.2851)
W (0.0252, 0.5000, 0.5229)
W (0.2395, 0.0000, 0.7612)


Most stable: C


A:
Computed, not measured: Mg2ZnSb2 at its PBEsol-relaxed geometry at the meta-GGA SCAN level of DFT.

Cell lengths 4.4165, 4.4165, 7.2087 Å; angles 90.00, 90.00, 120.00 degrees
Space group P3m1 (No. 156)
Asymmetric unit:
Mg (0.0000, 0.0000, 0.0000)
Mg (0.3333, 0.6667, 0.6295)
Zn (0.6667, 0.3333, 0.3864)
Sb (0.3333, 0.6667, 0.2398)
Sb (0.6667, 0.3333, 0.7842)


B:
Computed, not measured: Mg2ZnSb2 at its PBEsol-relaxed geometry at the meta-GGA SCAN level of DFT.

Cell lengths 5.0719, 5.0719, 10.7333 Å; angles 90.00, 90.00, 90.00 degrees
Space group I4/mmm (No. 139)
Asymmetric unit:
Mg (0.0000, 0.5000, 0.2500)
Zn (0.0000, 0.0000, 0.0000)
Sb (0.0000, 0.0000, 0.3717)


Most stable: A


A:
Computed, not measured: MgZnSb2 at its PBEsol-relaxed geometry at the meta-GGA SCAN level of DFT.

Cell lengths 7.0938, 7.0938, 7.0938 Å; angles 90.00, 90.00, 90.00 degrees
Space group Fm-3m (No. 225)
Asymmetric unit:
Mg (0.0000, 0.0000, 0.0000)
Zn (0.0000, 0.0000, 0.5000)
Sb (0.2500, 0.2500, 0.2500)


B:
Computed, not measured: MgZnSb2 at its PBEsol-relaxed geometry at the meta-GGA SCAN level of DFT.

Cell lengths 4.0860, 5.1581, 8.5626 Å; angles 90.00, 90.00, 90.00 degrees
Space group Immm (No. 71)
Asymmetric unit:
Mg (0.0000, 0.0000, 0.0000)
Zn (0.0000, 0.0000, 0.5000)
Sb (0.0000, 0.5000, 0.2324)


Most stable: B


A:
Computed, not measured: Mg3Sc4 at its PBEsol-relaxed geometry at the meta-GGA SCAN level of DFT.

Cell lengths 3.2091, 3.2091, 31.4772 Å; angles 90.00, 90.00, 90.00 degrees
Space group I4/mmm (No. 139)
Asymmetric unit:
Mg (0.0000, 0.0000, 0.0000)
Mg (0.0000, 0.0000, 0.2846)
Sc (0.0000, 0.0000, 0.1431)
Sc (0.0000, 0.0000, 0.4278)


B:
Computed, not measured: Mg3Sc4 at its PBEsol-relaxed geometry at the meta-GGA SCAN level of DFT.

Cell lengths 5.7162, 5.7162, 5.7623 Å; angles 90.00, 90.00, 120.00 degrees
Space group P6/mmm (No. 191)
Asymmetric unit:
Mg (0.0000, 0.5000, 0.0000)
Sc (0.0000, 0.0000, 0.2620)
Sc (0.3333, 0.6667, 0.5000)


Most stable: A


A:
Computed, not measured: MgSc2Se at its PBEsol-relaxed geometry at the meta-GGA SCAN level of DFT.

Cell lengths 6.9870, 6.9870, 6.9870 Å; angles 90.00, 90.00, 90.00 degrees
Space group F-43m (No. 216)
Asymmetric unit:
Mg (0.0000, 0.0000, 0.0000)
Sc (0.0000, 0.0000, 0.5000)
Sc (0.2500, 0.2500, 0.7500)
Se (0.2500, 0.2500, 0.2500)


B:
Computed, not measured: MgSc2Se at its PBEsol-relaxed geometry at the meta-GGA SCAN level of DFT.

Cell lengths 3.7123, 3.7123, 6.0491 Å; angles 90.00, 90.00, 90.00 degrees
Space group P4mm (No. 99)
Asymmetric unit:
Mg (0.0000, 0.0000, 0.0000)
Sc (0.0000, 0.0000, 0.5073)
Sc (0.5000, 0.5000, 0.2404)
Se (0.5000, 0.5000, 0.7007)


Most stable: B


A:
Computed, not measured: SrMg2Sc at its PBEsol-relaxed geometry at the meta-GGA SCAN level of DFT.

Cell lengths 5.4937, 5.4937, 3.7058 Å; angles 90.00, 90.00, 90.00 degrees
Space group P4/mmm (No. 123)
Asymmetric unit:
Sr (0.0000, 0.0000, 0.0000)
Mg (0.0000, 0.5000, 0.5000)
Sc (0.5000, 0.5000, 0.0000)


B:
Computed, not measured: SrMg2Sc at its PBEsol-relaxed geometry at the meta-GGA SCAN level of DFT.

Cell lengths 3.7798, 3.7996, 7.8804 Å; angles 90.00, 90.00, 90.00 degrees
Space group Pmmm (No. 47)
Asymmetric unit:
Sr (0.0000, 0.0000, 0.0000)
Mg (0.5000, 0.5000, 0.2959)
Sc (0.0000, 0.0000, 0.5000)


Most stable: B


A:
Computed, not measured: MgSc2Tl at its PBEsol-relaxed geometry at the meta-GGA SCAN level of DFT.

Cell lengths 3.7010, 3.7010, 6.6496 Å; angles 90.00, 90.00, 90.00 degrees
Space group P4mm (No. 99)
Asymmetric unit:
Mg (0.0000, 0.0000, 0.0000)
Sc (0.0000, 0.0000, 0.5045)
Sc (0.5000, 0.5000, 0.2527)
Tl (0.5000, 0.5000, 0.7558)


B:
Computed, not measured: MgSc2Tl at its PBEsol-relaxed geometry at the meta-GGA SCAN level of DFT.

Cell lengths 3.2829, 4.2420, 6.3710 Å; angles 90.00, 90.00, 90.00 degrees
Space group Pmmm (No. 47)
Asymmetric unit:
Mg (0.0000, 0.0000, 0.0000)
Sc (0.5000, 0.5000, 0.2543)
Tl (0.0000, 0.0000, 0.5000)


Most stable: B


A:
Computed, not measured: MgSc2Tl at its PBEsol-relaxed geometry at the meta-GGA SCAN level of DFT.

Cell lengths 4.5918, 4.5918, 8.3358 Å; angles 90.00, 90.00, 90.00 degrees
Space group I4/mmm (No. 139)
Asymmetric unit:
Mg (0.0000, 0.0000, 0.0000)
Sc (0.0000, 0.5000, 0.2500)
Tl (0.0000, 0.0000, 0.5000)


B:
Computed, not measured: MgSc2Tl at its PBEsol-relaxed geometry at the meta-GGA SCAN level of DFT.

Cell lengths 3.5093, 4.9601, 10.3643 Å; angles 90.00, 90.00, 90.00 degrees
Space group Imm2 (No. 44)
Asymmetric unit:
Mg (0.0000, 0.0000, 0.0000)
Sc (0.0000, 0.0000, 0.4796)
Sc (0.0000, 0.5000, 0.2368)
Tl (0.0000, 0.5000, 0.7265)


C:
Computed, not measured: MgSc2Tl at its PBEsol-relaxed geometry at the meta-GGA SCAN level of DFT.

Cell lengths 7.0551, 7.0551, 7.0551 Å; angles 90.00, 90.00, 90.00 degrees
Space group Fm-3m (No. 225)
Asymmetric unit:
Mg (0.0000, 0.0000, 0.0000)
Sc (0.2500, 0.2500, 0.2500)
Tl (0.0000, 0.0000, 0.5000)


Most stable: A